(1)
KPrMnBiO6 | PBE with a Hubbard U | optimized geometry

Unit cell a=5.7736 b=5.7736 c=5.7736 alpha=60.00 beta=60.00 gamma=60.00
Fractional positions:
Bi  0.0000  0.0000  0.0000
O  0.2620  0.7380  0.2620
O  0.2620  0.2620  0.7380
O  0.2620  0.7380  0.7380
O  0.7380  0.2620  0.7380
O  0.7380  0.7380  0.2620
O  0.7380  0.2620  0.2620
Pr  0.2500  0.2500  0.2500
K  0.7500  0.7500  0.7500
Mn  0.5000  0.5000  0.5000

## Properties
The density of states at the Fermi level is 0.083 states/eV per atom. The density is 6.59 g/cm3. The uncorrected energy comes out at -6.353 eV/atom. As for the space group: F-43m (216).

(2)
KSrMnBiO6 | PBE with a Hubbard U | optimized geometry

Unit cell a=5.7698 b=5.7698 c=5.7698 alpha=60.00 beta=60.00 gamma=60.00
Fractional positions:
O  0.2606  0.7394  0.7394
O  0.7394  0.7394  0.2606
O  0.2606  0.7394  0.2606
O  0.7394  0.2606  0.7394
O  0.2606  0.2606  0.7394
O  0.7394  0.2606  0.2606
Bi  0.0000  0.0000  0.0000
Mn  0.5000  0.5000  0.5000
Sr  0.2500  0.2500  0.2500
K  0.7500  0.7500  0.7500

## Properties
The density of states at the Fermi level is 0.633 states/eV per atom. The density is 5.95 g/cm3. The uncorrected energy comes out at -5.863 eV/atom. As for the space group: F-43m (216).

> What is the density in the first record?

6.59 g/cm3